(1)
Density functional theory data (PBE-GGA) for a relaxed NaSb6Ru crystal.

Unit cell a=14.0009 b=9.4713 c=10.0784 alpha=90.00 beta=133.35 gamma=90.00
Closest atoms and distances in Å follow each position.
Space group C2/m (No. 12)
One atom of each set of equivalent atoms:
Na 0.2500 0.2500 0.0000  6 Sb 3.04-3.25
Sb 0.0140 0.1664 0.3699  1 Ru 2.70, 1 Sb 2.91
Sb 0.0808 0.5000 0.6990  5 Sb 2.96-3.31, 2 Na 3.25
Sb 0.1436 0.3500 0.1747  1 Ru 2.68, 1 Sb 2.84
Sb 0.2092 0.5000 0.5510  2 Ru 2.57
Ru 0.2500 0.2500 0.5000  6 Sb 2.57-2.70

E   -35.4 eV/f.u.
Uncorrected formation energy   -0.010 eV/atom

---

(2)
Density functional theory data (PBE-GGA) for a relaxed TmZn3Rh3 crystal.

Unit cell a=6.6554 b=6.6554 c=6.6554 alpha=90.00 beta=90.00 gamma=90.00
Closest atoms and distances in Å follow each position.
Space group Pm-3n (No. 223)
One atom of each set of equivalent atoms:
Tm 0.0000 0.0000 0.0000  12 Rh 3.72, 12 Zn 3.72
Zn 0.0000 0.2500 0.5000  4 Rh 2.35
Rh 0.0000 0.5000 0.2500  4 Zn 2.35

E   -28.5 eV/f.u.

---

(3)
Density functional theory data (PBE-GGA) for a relaxed Ac3Tb2Pm6 crystal.

Unit cell a=3.7433 b=3.7433 c=99.5331 alpha=90.00 beta=90.00 gamma=120.00
Closest atoms and distances in Å follow each position.
Space group R-3m (No. 166, hexagonal axes)
One atom of each set of equivalent atoms:
Ac 0.0000 0.0000 0.0000  6 Ac 3.74, 6 Pm 3.78
Ac 0.0000 0.0000 0.2710  6 Ac 3.74, 6 Pm 3.78-3.80
Tb 0.0000 0.0000 0.4561  6 Pm 3.61, 6 Tb 3.74
Pm 0.0000 0.0000 0.0937  3 Tb 3.61, 6 Pm 3.74, 3 Ac 3.80
Pm 0.0000 0.0000 0.1815  3 Tb 3.61, 9 Pm 3.66-3.74
Pm 0.0000 0.0000 0.3645  6 Pm 3.74, 6 Ac 3.78

E   -49.6 eV/f.u.

---

The lowest E belongs to which entry?
Ac3Tb2Pm6